NiAu | Alexandria | GGA-PBEsol | relaxed; M_tot = 0.279 μB per atom; total DFT energy (no corrections) = -19.519 eV/cell; energy relative to the elements = 0.322 eV per formula unit
1.0
1.369 0.790 8.638
-1.369 0.790 8.638
0.000 -1.581 8.638
Ni Au
2 2
Direct
0.132 0.132 0.132 Ni
0.868 0.868 0.868 Ni
0.382 0.382 0.382 Au
0.618 0.618 0.618 Au

---

NiAu | Alexandria | GGA-PBEsol | relaxed; M_tot = 0.203 μB per atom; total DFT energy (no corrections) = -19.456 eV/cell; energy relative to the elements = 0.354 eV per formula unit
1.0
2.721 0.000 0.000
0.000 4.484 0.000
0.000 0.000 4.560
Ni Au
2 2
Direct
0.250 0.250 0.091 Ni
0.750 0.750 0.909 Ni
0.250 0.750 0.389 Au
0.750 0.250 0.611 Au

---

NiAu | Alexandria | GGA-PBEsol | relaxed; M_tot = 0.238 μB per atom; total DFT energy (no corrections) = -19.846 eV/cell; energy relative to the elements = 0.159 eV per formula unit
1.0
2.838 0.000 0.000
0.000 2.838 0.000
0.000 0.000 6.800
Ni Au
2 2
Direct
0.250 0.250 0.093 Ni
0.750 0.750 0.907 Ni
0.250 0.250 0.655 Au
0.750 0.750 0.345 Au